Entry 1:
The following is a DFT calculation (meta-GGA SCAN) of a PBEsol-optimized structure of TaCuSb.

Lattice parameters (Å, degrees): 3.267 3.267 9.585 90.00 90.00 90.00
Space group I4mm (No. 107)
Inequivalent atoms, fractional coordinates:
Ta (0.000, 0.000, 0.000) [2 per cell]
Cu (0.000, 0.000, 0.651) [2 per cell]
Sb (0.000, 0.000, 0.308) [2 per cell]

Results
Electronic total energy: -39.3687 eV per atom
Formation energy from raw total energies: 0.312 eV/atom
Crystal system: tetragonal


Entry 2:
The following is a DFT calculation (meta-GGA SCAN) of a PBEsol-optimized structure of MnBiO3.

Lattice parameters (Å, degrees): 15.604 5.466 11.090 90.00 90.00 90.00
Space group Pmn2_1 (No. 31)
Inequivalent atoms, fractional coordinates:
Mn (0.124, 0.005, 0.000) [4 per cell]
Mn (0.124, 0.494, 0.255) [4 per cell]
Mn (0.127, 0.011, 0.502) [4 per cell]
Mn (0.127, 0.510, 0.752) [4 per cell]
Bi (0.000, 0.031, 0.243) [2 per cell]
Bi (0.000, 0.480, 0.503) [2 per cell]
Bi (0.000, 0.532, 0.015) [2 per cell]
Bi (0.000, 0.979, 0.753) [2 per cell]
Bi (0.240, 0.968, 0.756) [4 per cell]
Bi (0.243, 0.523, 0.502) [4 per cell]
O (0.000, 0.065, 0.485) [2 per cell]
O (0.000, 0.462, 0.298) [2 per cell]
O (0.000, 0.560, 0.773) [2 per cell]
O (0.000, 0.962, 0.958) [2 per cell]
O (0.092, 0.253, 0.121) [4 per cell]
O (0.096, 0.752, 0.132) [4 per cell]
O (0.115, 0.821, 0.652) [4 per cell]
O (0.123, 0.320, 0.599) [4 per cell]
O (0.135, 0.712, 0.400) [4 per cell]
O (0.139, 0.242, 0.865) [4 per cell]
O (0.147, 0.212, 0.362) [4 per cell]
O (0.152, 0.748, 0.884) [4 per cell]
O (0.246, 0.046, 0.036) [4 per cell]
O (0.247, 0.460, 0.214) [4 per cell]

Results
Electronic total energy: -24.7549 eV per atom
Formation energy from raw total energies: -1.649 eV/atom
Crystal system: orthorhombic


Entry 3:
The following is a DFT calculation (meta-GGA SCAN) of a PBEsol-optimized structure of CdHg13.

Lattice parameters (Å, degrees): 14.319 14.319 14.319 90.00 90.00 90.00
Space group Fm-3c (No. 226)
Inequivalent atoms, fractional coordinates:
Cd (0.250, 0.250, 0.250) [8 per cell]
Hg (0.000, 0.000, 0.000) [8 per cell]
Hg (0.000, 0.123, 0.181) [96 per cell]

Results
Electronic total energy: -65.3612 eV per atom
Formation enthalpy at 0 K: 1.51 eV/f.u.
Crystal system: cubic


Entry 4:
The following is a DFT calculation (meta-GGA SCAN) of a PBEsol-optimized structure of BAsO4.

Lattice parameters (Å, degrees): 4.5684 4.5684 10.4179 90.00 90.00 120.00
Space group P3_121 (No. 152)
Inequivalent atoms, fractional coordinates:
B (0.0000, 0.5403, 0.1667) [3 per cell]
As (0.0000, 0.5438, 0.6667) [3 per cell]
O (0.0786, 0.3932, 0.0550) [6 per cell]
O (0.1232, 0.4019, 0.5369) [6 per cell]

Results
Electronic total energy: -10.5630 eV per atom
Formation energy from raw total energies: -1.805 eV/atom
Energy above the most stable polymorph in this dataset: 0.028 eV per atom
Crystal system: trigonal


Entry 5:
The following is a DFT calculation (meta-GGA SCAN) of a PBEsol-optimized structure of HfFeSn2.

Lattice parameters (Å, degrees): 6.684 6.684 6.684 90.00 90.00 90.00
Space group Fm-3m (No. 225)
Inequivalent atoms, fractional coordinates:
Hf (0.000, 0.000, 0.000) [4 per cell]
Fe (0.000, 0.000, 0.500) [4 per cell]
Sn (0.250, 0.250, 0.250) [8 per cell]

Results
Electronic total energy: -37.9167 eV per atom
Formation enthalpy at 0 K: 0.98 eV/f.u.
Crystal system: cubic


Entry 6:
The following is a DFT calculation (meta-GGA SCAN) of a PBEsol-optimized structure of Cs2BaTa2.

Lattice parameters (Å, degrees): 3.747 3.747 30.463 90.00 90.00 90.00
Space group I4/mmm (No. 139)
Inequivalent atoms, fractional coordinates:
Cs (0.000, 0.000, 0.136) [4 per cell]
Ba (0.000, 0.000, 0.500) [2 per cell]
Ta (0.000, 0.500, 0.250) [4 per cell]

Results
Electronic total energy: -48.6446 eV per atom
Formation enthalpy at 0 K: 5.12 eV/f.u.
Crystal system: tetragonal


Entry 7:
The following is a DFT calculation (meta-GGA SCAN) of a PBEsol-optimized structure of K2RbLiHf.

Lattice parameters (Å, degrees): 6.794 6.794 6.885 90.00 90.00 90.00
Space group P4/mmm (No. 123)
Inequivalent atoms, fractional coordinates:
K (0.000, 0.500, 0.000) [2 per cell]
Rb (0.000, 0.000, 0.500) [1 per cell]
Li (0.500, 0.500, 0.500) [1 per cell]
Hf (0.000, 0.000, 0.000) [1 per cell]

Results
Electronic total energy: -19.2994 eV per atom
Formation enthalpy at 0 K: 5.96 eV/f.u.
Crystal system: tetragonal


Entry 8:
The following is a DFT calculation (meta-GGA SCAN) of a PBEsol-optimized structure of Co2AuF.

Lattice parameters (Å, degrees): 6.138 6.138 5.391 90.00 90.00 90.00
Space group I-42d (No. 122)
Inequivalent atoms, fractional coordinates:
Co (0.186, 0.750, 0.125) [8 per cell]
Au (0.000, 0.000, 0.500) [4 per cell]
F (0.000, 0.000, 0.000) [4 per cell]

Results
Electronic total energy: -27.0984 eV per atom
Formation energy from raw total energies: -0.272 eV/atom
Crystal system: tetragonal


Entry 9:
The following is a DFT calculation (meta-GGA SCAN) of a PBEsol-optimized structure of AlCuCl.

Lattice parameters (Å, degrees): 3.040 3.040 10.496 90.00 90.00 90.00
Space group I4mm (No. 107)
Inequivalent atoms, fractional coordinates:
Al (0.000, 0.000, 0.000) [2 per cell]
Cu (0.000, 0.000, 0.380) [2 per cell]
Cl (0.000, 0.000, 0.679) [2 per cell]

Results
Electronic total energy: -10.4132 eV per atom
Formation energy from raw total energies: -0.103 eV/atom
Energy above the most stable polymorph in this dataset: 0.000 eV per atom
Crystal system: tetragonal


Entry 10:
The following is a DFT calculation (meta-GGA SCAN) of a PBEsol-optimized structure of SmBiRu2O7.

Lattice parameters (Å, degrees): 7.199 7.265 10.231 90.00 90.00 90.00
Space group Imma (No. 74)
Inequivalent atoms, fractional coordinates:
Sm (0.000, 0.000, 0.000) [4 per cell]
Bi (0.250, 0.250, 0.250) [4 per cell]
Ru (0.000, 0.000, 0.500) [4 per cell]
Ru (0.250, 0.250, 0.750) [4 per cell]
O (0.000, 0.250, 0.122) [4 per cell]
O (0.000, 0.250, 0.423) [4 per cell]
O (0.000, 0.250, 0.832) [4 per cell]
O (0.202, 0.044, 0.627) [16 per cell]

Results
Electronic total energy: -23.2865 eV per atom
Formation energy from raw total energies: -1.805 eV/atom
Crystal system: orthorhombic


Entry 11:
The following is a DFT calculation (meta-GGA SCAN) of a PBEsol-optimized structure of KTeOF3.

Lattice parameters (Å, degrees): 5.961 4.677 7.792 90.00 90.85 90.00
Space group P2_1 (No. 4)
Inequivalent atoms, fractional coordinates:
K (0.243, 0.000, 0.132) [2 per cell]
Te (0.245, 0.012, 0.649) [2 per cell]
O (0.044, 0.914, 0.810) [2 per cell]
F (0.081, 0.834, 0.439) [2 per cell]
F (0.402, 0.640, 0.638) [2 per cell]
F (0.482, 0.069, 0.841) [2 per cell]

Results
Electronic total energy: -12.6066 eV per atom
Formation energy from raw total energies: -2.201 eV/atom
Energy above the most stable polymorph in this dataset: 0.072 eV per atom
Crystal system: monoclinic


Entry 12:
The following is a DFT calculation (meta-GGA SCAN) of a PBEsol-optimized structure of LiBeMo2.

Lattice parameters (Å, degrees): 3.149 4.142 8.444 90.00 90.00 90.00
Space group Cmm2 (No. 35)
Inequivalent atoms, fractional coordinates:
Li (0.000, 0.000, 0.000) [2 per cell]
Be (0.000, 0.500, 0.764) [2 per cell]
Mo (0.000, 0.000, 0.544) [2 per cell]
Mo (0.000, 0.500, 0.276) [2 per cell]

Results
Electronic total energy: -18.8714 eV per atom
Formation enthalpy at 0 K: 1.03 eV/f.u.
Energy above the most stable polymorph in this dataset: 0.000 eV per atom
Crystal system: orthorhombic


Entry 13:
The following is a DFT calculation (meta-GGA SCAN) of a PBEsol-optimized structure of SrCrSe2Br.

Lattice parameters (Å, degrees): 5.723 5.723 5.615 90.00 90.00 90.00
Space group P4/mmm (No. 123)
Inequivalent atoms, fractional coordinates:
Sr (0.000, 0.000, 0.000) [1 per cell]
Cr (0.500, 0.500, 0.500) [1 per cell]
Se (0.000, 0.500, 0.000) [2 per cell]
Br (0.000, 0.000, 0.500) [1 per cell]

Results
Electronic total energy: -20.2002 eV per atom
Formation energy from raw total energies: -0.145 eV/atom
Crystal system: tetragonal


Entry 14:
The following is a DFT calculation (meta-GGA SCAN) of a PBEsol-optimized structure of HgPtCl2.

Lattice parameters (Å, degrees): 3.214 3.214 7.690 90.00 90.00 90.00
Space group P4mm (No. 99)
Inequivalent atoms, fractional coordinates:
Hg (0.000, 0.000, 0.000) [1 per cell]
Pt (0.500, 0.500, 0.221) [1 per cell]
Cl (0.000, 0.000, 0.415) [1 per cell]
Cl (0.500, 0.500, 0.781) [1 per cell]

Results
Electronic total energy: -38.4045 eV per atom
Formation energy from raw total energies: 0.174 eV/atom
Energy above the most stable polymorph in this dataset: 0.449 eV per atom
Crystal system: tetragonal


Entry 15:
The following is a DFT calculation (meta-GGA SCAN) of a PBEsol-optimized structure of FeRe3Rh.

Lattice parameters (Å, degrees): 4.572 4.572 4.572 90.00 90.00 90.00
Space group Pm-3m (No. 221)
Inequivalent atoms, fractional coordinates:
Fe (0.000, 0.000, 0.000) [1 per cell]
Re (0.000, 0.500, 0.500) [3 per cell]
Rh (0.500, 0.500, 0.500) [1 per cell]

Results
Electronic total energy: -50.5111 eV per atom
Formation enthalpy at 0 K: 12.64 eV/f.u.
Crystal system: cubic


Entry 16:
The following is a DFT calculation (meta-GGA SCAN) of a PBEsol-optimized structure of BaMgTl.

Lattice parameters (Å, degrees): 5.2846 5.2846 4.0866 90.00 90.00 120.00
Space group P-6m2 (No. 187)
Inequivalent atoms, fractional coordinates:
Ba (0.0000, 0.0000, 0.0000) [1 per cell]
Mg (0.3333, 0.6667, 0.5000) [1 per cell]
Tl (0.6667, 0.3333, 0.5000) [1 per cell]

Results
Electronic total energy: -39.3466 eV per atom
Formation enthalpy at 0 K: -1.16 eV/f.u.
Crystal system: hexagonal


Entry 17:
The following is a DFT calculation (meta-GGA SCAN) of a PBEsol-optimized structure of AlInIr2.

Lattice parameters (Å, degrees): 2.986 2.986 6.708 90.00 90.00 90.00
Space group P4/mmm (No. 123)
Inequivalent atoms, fractional coordinates:
Al (0.000, 0.000, 0.000) [1 per cell]
In (0.000, 0.000, 0.500) [1 per cell]
Ir (0.500, 0.500, 0.222) [2 per cell]

Results
Electronic total energy: -46.4595 eV per atom
Formation enthalpy at 0 K: -2.50 eV/f.u.
Crystal system: tetragonal


Entry 18:
The following is a DFT calculation (meta-GGA SCAN) of a PBEsol-optimized structure of MnSb2Au.

Lattice parameters (Å, degrees): 6.521 6.621 3.720 90.00 90.00 90.00
Space group Cmmm (No. 65)
Inequivalent atoms, fractional coordinates:
Mn (0.000, 0.000, 0.000) [2 per cell]
Sb (0.250, 0.250, 0.500) [4 per cell]
Au (0.000, 0.500, 0.000) [2 per cell]

Results
Electronic total energy: -40.4141 eV per atom
Formation energy from raw total energies: 0.069 eV/atom
Energy above the most stable polymorph in this dataset: 0.208 eV per atom
Crystal system: orthorhombic


Entry 19:
The following is a DFT calculation (meta-GGA SCAN) of a PBEsol-optimized structure of Ta2OsSe.

Lattice parameters (Å, degrees): 3.095 4.094 5.214 90.00 90.00 90.00
Space group Pmm2 (No. 25)
Inequivalent atoms, fractional coordinates:
Ta (0.000, 0.000, 0.000) [1 per cell]
Ta (0.500, 0.500, 0.302) [1 per cell]
Os (0.000, 0.000, 0.496) [1 per cell]
Se (0.500, 0.500, 0.798) [1 per cell]

Results
Electronic total energy: -56.2100 eV per atom
Formation energy from raw total energies: 0.071 eV/atom
Crystal system: orthorhombic


Entry 20:
The following is a DFT calculation (meta-GGA SCAN) of a PBEsol-optimized structure of ZrZn3Te.

Lattice parameters (Å, degrees): 4.948 4.948 4.948 90.00 90.00 90.00
Space group Pm-3m (No. 221)
Inequivalent atoms, fractional coordinates:
Zr (0.000, 0.000, 0.000) [1 per cell]
Zn (0.000, 0.500, 0.500) [3 per cell]
Te (0.500, 0.500, 0.500) [1 per cell]

Results
Electronic total energy: -20.6692 eV per atom
Formation energy from raw total energies: 1.030 eV/atom
Crystal system: cubic